No. 1
Below is a geometry-optimized NbPCl8O structure, with properties calculated at the PBE level.

Calculated values
* symmetry: No. 62

Lattice parameters (Å, degrees): 16.704 8.344 9.168 90.00 90.00 90.00
Sites, in units of the cell vectors:
Nb 0.147 0.250 0.085
Nb 0.353 0.750 0.585
Nb 0.647 0.250 0.415
Nb 0.853 0.750 0.915
P 0.076 0.250 0.714
P 0.424 0.750 0.214
P 0.576 0.250 0.786
P 0.924 0.750 0.286
Cl 0.023 0.250 0.206
Cl 0.035 0.750 0.364
Cl 0.130 0.060 0.629
Cl 0.130 0.440 0.629
Cl 0.139 0.529 0.058
Cl 0.139 0.971 0.058
Cl 0.224 0.250 0.292
Cl 0.239 0.750 0.427
Cl 0.261 0.250 0.927
Cl 0.276 0.750 0.792
Cl 0.361 0.029 0.558
Cl 0.361 0.471 0.558
Cl 0.370 0.560 0.129
Cl 0.370 0.940 0.129
Cl 0.465 0.250 0.864
Cl 0.477 0.750 0.706
Cl 0.523 0.250 0.294
Cl 0.535 0.750 0.136
Cl 0.630 0.060 0.871
Cl 0.630 0.440 0.871
Cl 0.639 0.529 0.442
Cl 0.639 0.971 0.442
Cl 0.724 0.250 0.208
Cl 0.739 0.750 0.073
Cl 0.761 0.250 0.573
Cl 0.776 0.750 0.708
Cl 0.861 0.029 0.942
Cl 0.861 0.471 0.942
Cl 0.870 0.560 0.371
Cl 0.870 0.940 0.371
Cl 0.965 0.250 0.636
Cl 0.977 0.750 0.794
O 0.075 0.250 0.877
O 0.425 0.750 0.377
O 0.575 0.250 0.623
O 0.925 0.750 0.123


No. 2
Below is a geometry-optimized NbPb2Se2ClO8 structure, with properties calculated at the PBE level.

Calculated values
* symmetry: No. 4

Lattice parameters (Å, degrees): 8.439 5.428 10.682 90.00 111.28 90.00
Sites, in units of the cell vectors:
Nb 0.161 0.000 0.065
Nb 0.839 0.500 0.935
Pb 0.201 0.995 0.478
Pb 0.315 0.532 0.798
Pb 0.685 0.032 0.202
Pb 0.799 0.495 0.522
Se 0.010 0.985 0.725
Se 0.380 0.497 0.202
Se 0.620 0.997 0.798
Se 0.990 0.485 0.275
Cl 0.368 0.474 0.539
Cl 0.632 0.974 0.461
O 0.039 0.682 0.046
O 0.058 0.765 0.624
O 0.076 0.248 0.667
O 0.175 0.078 0.234
O 0.183 0.916 0.871
O 0.326 0.291 0.064
O 0.385 0.776 0.120
O 0.410 0.939 0.728
O 0.590 0.439 0.272
O 0.615 0.276 0.880
O 0.674 0.791 0.936
O 0.817 0.416 0.129
O 0.825 0.578 0.766
O 0.924 0.748 0.333
O 0.942 0.265 0.376
O 0.961 0.182 0.954


No. 3
Below is a geometry-optimized Pr3NbCl6O4 structure, with properties calculated at the PBE level.

Calculated values
* symmetry: No. 176

Lattice parameters (Å, degrees): 12.824 12.824 3.992 90.00 90.00 120.00
Sites, in units of the cell vectors:
Pr 0.113 0.719 0.250
Pr 0.281 0.395 0.250
Pr 0.395 0.113 0.750
Pr 0.605 0.887 0.250
Pr 0.719 0.605 0.750
Pr 0.887 0.281 0.750
Nb 0.333 0.667 0.750
Nb 0.667 0.333 0.250
Cl 0.071 0.443 0.250
Cl 0.103 0.247 0.750
Cl 0.144 0.897 0.750
Cl 0.247 0.144 0.250
Cl 0.372 0.929 0.250
Cl 0.443 0.372 0.750
Cl 0.557 0.628 0.250
Cl 0.628 0.071 0.750
Cl 0.753 0.856 0.750
Cl 0.856 0.103 0.250
Cl 0.897 0.753 0.250
Cl 0.929 0.557 0.750
O 0.199 0.693 0.750
O 0.307 0.506 0.750
O 0.333 0.667 0.250
O 0.494 0.801 0.750
O 0.506 0.199 0.250
O 0.667 0.333 0.750
O 0.693 0.494 0.250
O 0.801 0.307 0.250


No. 4
Below is a geometry-optimized Rb2Nb3Cl7O5 structure, with properties calculated at the PBE level.

Calculated values
* symmetry: No. 15

Lattice parameters (Å, degrees): 9.538 9.538 11.189 108.92 108.92 56.19
Sites, in units of the cell vectors:
Rb 0.162 0.243 0.356
Rb 0.243 0.162 0.856
Rb 0.757 0.838 0.144
Rb 0.838 0.757 0.644
Nb 0.209 0.784 0.026
Nb 0.216 0.791 0.474
Nb 0.463 0.537 0.750
Nb 0.537 0.463 0.250
Nb 0.784 0.209 0.526
Nb 0.791 0.216 0.974
Cl 0.053 0.632 0.955
Cl 0.059 0.637 0.373
Cl 0.088 0.912 0.250
Cl 0.278 0.416 0.667
Cl 0.363 0.941 0.127
Cl 0.368 0.947 0.545
Cl 0.416 0.278 0.167
Cl 0.584 0.722 0.833
Cl 0.632 0.053 0.455
Cl 0.637 0.059 0.873
Cl 0.722 0.584 0.333
Cl 0.912 0.088 0.750
Cl 0.941 0.363 0.627
Cl 0.947 0.368 0.045
O 0.000 0.000 0.000
O 0.000 0.000 0.500
O 0.284 0.714 0.876
O 0.286 0.716 0.624
O 0.397 0.599 0.124
O 0.401 0.603 0.376
O 0.599 0.397 0.624
O 0.603 0.401 0.876
O 0.714 0.284 0.376
O 0.716 0.286 0.124


No. 5
Below is a geometry-optimized RbNb4ClO5 structure, with properties calculated at the PBE level.

Calculated values
* symmetry: No. 123

Lattice parameters (Å, degrees): 4.217 4.217 9.207 90.00 90.00 90.00
Sites, in units of the cell vectors:
Rb 0.000 0.000 0.000
Nb 0.000 0.500 0.500
Nb 0.500 0.000 0.500
Nb 0.500 0.500 0.283
Nb 0.500 0.500 0.717
Cl 0.500 0.500 0.000
O 0.000 0.000 0.500
O 0.000 0.500 0.272
O 0.000 0.500 0.728
O 0.500 0.000 0.272
O 0.500 0.000 0.728


No. 6
Below is a geometry-optimized Sm2Nb2Cl2O7 structure, with properties calculated at the PBE level.

Calculated values
* symmetry: No. 12

Lattice parameters (Å, degrees): 7.861 7.861 6.936 113.32 113.32 28.87
Sites, in units of the cell vectors:
Sm 0.193 0.193 0.166
Sm 0.807 0.807 0.834
Nb 0.466 0.466 0.202
Nb 0.534 0.534 0.798
Cl 0.179 0.179 0.565
Cl 0.821 0.821 0.435
O 0.047 0.047 0.845
O 0.322 0.322 0.062
O 0.416 0.416 0.841
O 0.500 0.500 0.500
O 0.584 0.584 0.159
O 0.678 0.678 0.938
O 0.953 0.953 0.155


No. 7
Below is a geometry-optimized NbTe4Cl4O structure, with properties calculated at the PBE level.

Calculated values
* symmetry: No. 2

Lattice parameters (Å, degrees): 7.992 12.381 12.884 81.07 82.10 78.69
Sites, in units of the cell vectors:
Nb 0.059 0.260 0.273
Nb 0.440 0.740 0.732
Nb 0.560 0.260 0.268
Nb 0.941 0.740 0.727
Te 0.072 0.749 0.081
Te 0.214 0.771 0.385
Te 0.232 0.346 0.878
Te 0.242 0.159 0.643
Te 0.246 0.626 0.241
Te 0.277 0.367 0.655
Te 0.430 0.925 0.277
Te 0.484 0.149 0.918
Te 0.516 0.851 0.082
Te 0.570 0.075 0.723
Te 0.723 0.633 0.345
Te 0.754 0.374 0.759
Te 0.758 0.841 0.357
Te 0.768 0.654 0.122
Te 0.786 0.229 0.615
Te 0.928 0.251 0.919
Cl 0.037 0.371 0.412
Cl 0.081 0.421 0.140
Cl 0.098 0.094 0.397
Cl 0.149 0.144 0.129
Cl 0.325 0.879 0.850
Cl 0.382 0.888 0.586
Cl 0.430 0.597 0.879
Cl 0.490 0.604 0.610
Cl 0.510 0.396 0.390
Cl 0.570 0.403 0.121
Cl 0.618 0.112 0.414
Cl 0.675 0.121 0.150
Cl 0.851 0.856 0.871
Cl 0.902 0.906 0.603
Cl 0.919 0.579 0.860
Cl 0.963 0.629 0.588
O 0.167 0.732 0.730
O 0.338 0.250 0.269
O 0.662 0.750 0.731
O 0.833 0.268 0.270


No. 8
Below is a geometry-optimized NbTlCl4O structure, with properties calculated at the PBE level.

Calculated values
* symmetry: No. 61

Lattice parameters (Å, degrees): 8.062 15.161 12.819 90.00 90.00 90.00
Sites, in units of the cell vectors:
Nb 0.190 0.091 0.246
Nb 0.190 0.409 0.746
Nb 0.310 0.591 0.246
Nb 0.310 0.909 0.746
Nb 0.690 0.091 0.254
Nb 0.690 0.409 0.754
Nb 0.810 0.591 0.254
Nb 0.810 0.909 0.754
Tl 0.011 0.656 0.896
Tl 0.011 0.844 0.396
Tl 0.489 0.156 0.896
Tl 0.489 0.344 0.396
Tl 0.511 0.656 0.604
Tl 0.511 0.844 0.104
Tl 0.989 0.156 0.604
Tl 0.989 0.344 0.104
Cl 0.143 0.147 0.072
Cl 0.143 0.353 0.572
Cl 0.147 0.558 0.685
Cl 0.147 0.942 0.185
Cl 0.153 0.240 0.314
Cl 0.153 0.260 0.814
Cl 0.174 0.037 0.423
Cl 0.174 0.463 0.923
Cl 0.326 0.537 0.423
Cl 0.326 0.963 0.923
Cl 0.347 0.740 0.314
Cl 0.347 0.760 0.814
Cl 0.353 0.058 0.685
Cl 0.353 0.442 0.185
Cl 0.357 0.647 0.072
Cl 0.357 0.853 0.572
Cl 0.643 0.147 0.428
Cl 0.643 0.353 0.928
Cl 0.647 0.558 0.815
Cl 0.647 0.942 0.315
Cl 0.653 0.240 0.186
Cl 0.653 0.260 0.686
Cl 0.674 0.037 0.077
Cl 0.674 0.463 0.577
Cl 0.826 0.537 0.077
Cl 0.826 0.963 0.577
Cl 0.847 0.740 0.186
Cl 0.847 0.760 0.686
Cl 0.853 0.058 0.815
Cl 0.853 0.442 0.315
Cl 0.857 0.647 0.428
Cl 0.857 0.853 0.928
O 0.089 0.591 0.241
O 0.089 0.909 0.741
O 0.411 0.091 0.241
O 0.411 0.409 0.741
O 0.589 0.591 0.259
O 0.589 0.909 0.759
O 0.911 0.091 0.259
O 0.911 0.409 0.759


No. 9
Below is a geometry-optimized Nb4TlClO5 structure, with properties calculated at the PBE level.

Calculated values
* symmetry: No. 123

Lattice parameters (Å, degrees): 4.210 4.210 9.252 90.00 90.00 90.00
Sites, in units of the cell vectors:
Nb 0.000 0.000 0.217
Nb 0.000 0.000 0.783
Nb 0.000 0.500 0.000
Nb 0.500 0.000 0.000
Tl 0.500 0.500 0.500
Cl 0.000 0.000 0.500
O 0.000 0.500 0.227
O 0.000 0.500 0.773
O 0.500 0.000 0.227
O 0.500 0.000 0.773
O 0.500 0.500 0.000


No. 10
Below is a geometry-optimized NbPCl10 structure, with properties calculated at the PBE level.

Calculated values
* symmetry: No. 2

Lattice parameters (Å, degrees): 6.981 7.231 13.628 90.53 90.92 105.46
Sites, in units of the cell vectors:
Nb 0.000 0.000 0.000
Nb 0.000 0.000 0.500
P 0.381 0.591 0.262
P 0.619 0.409 0.738
Cl 0.101 0.008 0.167
Cl 0.113 0.279 0.603
Cl 0.124 0.521 0.193
Cl 0.134 0.817 0.614
Cl 0.234 0.302 0.976
Cl 0.244 0.837 0.956
Cl 0.308 0.082 0.418
Cl 0.341 0.586 0.403
Cl 0.469 0.153 0.777
Cl 0.471 0.593 0.775
Cl 0.529 0.407 0.225
Cl 0.531 0.847 0.223
Cl 0.659 0.414 0.597
Cl 0.692 0.918 0.582
Cl 0.756 0.163 0.044
Cl 0.766 0.698 0.024
Cl 0.866 0.183 0.386
Cl 0.876 0.479 0.807
Cl 0.887 0.721 0.397
Cl 0.899 0.992 0.833


No. 11
Below is a geometry-optimized NbTl2PbCl6 structure, with properties calculated at the PBE level.

Calculated values
* symmetry: No. 14

Lattice parameters (Å, degrees): 7.377 7.532 12.790 90.00 124.68 90.00
Sites, in units of the cell vectors:
Nb 0.000 0.000 0.000
Nb 0.000 0.500 0.500
Tl 0.223 0.077 0.745
Tl 0.223 0.423 0.245
Tl 0.777 0.577 0.755
Tl 0.777 0.923 0.255
Pb 0.500 0.000 0.500
Pb 0.500 0.500 0.000
Cl 0.127 0.211 0.452
Cl 0.127 0.289 0.952
Cl 0.237 0.682 0.449
Cl 0.237 0.818 0.949
Cl 0.337 0.009 0.233
Cl 0.337 0.491 0.733
Cl 0.663 0.509 0.267
Cl 0.663 0.991 0.767
Cl 0.763 0.182 0.051
Cl 0.763 0.318 0.551
Cl 0.873 0.711 0.048
Cl 0.873 0.789 0.548


No. 12
Below is a geometry-optimized Rb2Nb3Cl9 structure, with properties calculated at the PBE level.

Calculated values
* symmetry: No. 12

Lattice parameters (Å, degrees): 9.873 9.873 9.697 103.70 103.70 115.69
Sites, in units of the cell vectors:
Rb 0.053 0.736 0.681
Rb 0.264 0.947 0.319
Rb 0.736 0.053 0.681
Rb 0.947 0.264 0.319
Nb 0.276 0.452 0.859
Nb 0.391 0.391 0.135
Nb 0.452 0.276 0.859
Nb 0.548 0.724 0.141
Nb 0.609 0.609 0.865
Nb 0.724 0.548 0.141
Cl 0.005 0.608 0.319
Cl 0.107 0.316 0.993
Cl 0.177 0.177 0.668
Cl 0.254 0.254 0.299
Cl 0.292 0.708 0.000
Cl 0.316 0.107 0.993
Cl 0.365 0.574 0.678
Cl 0.392 0.995 0.681
Cl 0.426 0.635 0.322
Cl 0.574 0.365 0.678
Cl 0.608 0.005 0.319
Cl 0.635 0.426 0.322
Cl 0.684 0.893 0.007
Cl 0.708 0.292 0.000
Cl 0.746 0.746 0.701
Cl 0.823 0.823 0.332
Cl 0.893 0.684 0.007
Cl 0.995 0.392 0.681


Record-wise raw total energy values, in eV/atom: -4.38 -6.11 -6.55 -6.11 -8.21 -8.03 -4.37 -5.03 -8.16 -3.76 -3.93 -4.97